Record 1
LaTe2SN | Alexandria via LeMat-Bulk | PBE | optimized geometry; SG = P4/mmm (123); electronic total energy = -4.0994 eV/atom; DOS(E_F) = 6.5 states/eV/cell; E_form (uncorrected) = 0.633 eV per atom
1.0
-5.707 -2.153 1.869
1.522 -5.837 -2.077
1.512 -0.886 3.597
Te La N S
2 1 1 1
Direct
0.500 0.000 0.000
0.000 0.500 0.000
0.000 0.000 0.000
0.000 0.000 0.500
0.500 0.500 0.500

Record 2
TlInCu | Alexandria via LeMat-Bulk | PBE | optimized geometry; SG = P3m1 (156); energy of formation = 0.229 eV/atom; electronic total energy = -2.8381 eV/atom; DOS(E_F) = 0.8 states/eV/cell
1.0
4.647 0.000 0.000
-2.324 4.024 0.000
0.000 0.000 3.801
In Tl Cu
1 1 1
Direct
0.667 0.333 0.211
0.333 0.667 0.705
0.000 0.000 0.084

Record 3
Rb2HoHBr6 | Alexandria via LeMat-Bulk | PBE | optimized geometry; SG = P-1 (2); electronic total energy = -3.4631 eV/atom; DOS(E_F) = 0.0 states/eV/cell
1.0
7.026 -1.325 -0.331
-1.193 7.966 0.271
2.684 3.496 6.745
Br Ho H Rb
6 1 1 2
Direct
0.742 0.621 0.008
0.261 0.159 0.609
0.784 0.214 0.862
0.258 0.379 0.992
0.216 0.786 0.138
0.739 0.841 0.391
0.000 0.000 0.000
0.500 0.500 0.000
0.824 0.277 0.410
0.176 0.723 0.590

Please write out number 1 again, unchanged.
LaTe2SN | Alexandria via LeMat-Bulk | PBE | optimized geometry; SG = P4/mmm (123); electronic total energy = -4.0994 eV/atom; DOS(E_F) = 6.5 states/eV/cell; E_form (uncorrected) = 0.633 eV per atom
1.0
-5.707 -2.153 1.869
1.522 -5.837 -2.077
1.512 -0.886 3.597
Te La N S
2 1 1 1
Direct
0.500 0.000 0.000
0.000 0.500 0.000
0.000 0.000 0.000
0.000 0.000 0.500
0.500 0.500 0.500

Q: Which value of DOS(E_F) does entry 3 give?
A: 0.0 states/eV/cell

Q: Among the records above, which one has the highest DOS(E_F)?
A: LaTe2SN

Copy entry 1 word for word.
LaTe2SN | Alexandria via LeMat-Bulk | PBE | optimized geometry; SG = P4/mmm (123); electronic total energy = -4.0994 eV/atom; DOS(E_F) = 6.5 states/eV/cell; E_form (uncorrected) = 0.633 eV per atom
1.0
-5.707 -2.153 1.869
1.522 -5.837 -2.077
1.512 -0.886 3.597
Te La N S
2 1 1 1
Direct
0.500 0.000 0.000
0.000 0.500 0.000
0.000 0.000 0.000
0.000 0.000 0.500
0.500 0.500 0.500